[1]
## Tc2MoAs (GGA-PBEsol)

Data for a geometry-optimized Tc2MoAs structure.

a = 2.8124 Å, b = 2.8124 Å, c = 8.6621 Å
α = 80.66°, β = 80.66°, γ = 60.00°
Atoms (fractional coordinates):
Mo  0.7510  0.7510  0.7471
Tc  0.9979  0.9979  0.0062
Tc  0.2494  0.2494  0.2519
As  0.5017  0.5017  0.4948

Computed properties:
Its space-group type is R3m. The total magnetization comes out at 0.00 Bohr magnetons per cell. For the formation enthalpy at 0 K, the calculation gives 0.12 eV/atom. The value obtained for the total DFT energy (no corrections) is -9.73 eV/atom.

[2]
## ZrScBe2 (GGA-PBEsol)

Data for a geometry-optimized ZrScBe2 structure.

a = 3.0433 Å, b = 3.9889 Å, c = 5.3669 Å
α = 90.00°, β = 90.00°, γ = 90.00°
Atoms (fractional coordinates):
Be  0.5000  0.5000  0.2771
Be  0.0000  0.0000  0.9728
Zr  0.5000  0.5000  0.7963
Sc  0.0000  0.0000  0.4537

Computed properties:
Its space-group type is Pmm2. The total magnetization comes out at 0.00 Bohr magnetons per cell. As for the energy relative to the lowest polymorph listed for this composition: 357 meV per atom. For the formation enthalpy at 0 K, the calculation gives 0.29 eV/atom. The value obtained for the total DFT energy (no corrections) is -5.64 eV/atom.

| no. | mass density (g/cm3) |
| --- | --- |
| 1 | 10.452 |
| 2 | 3.930 |